Below is a geometry-optimized Cs2TmSO6 structure, with properties calculated at the PBE-GGA level.

Computed properties:
**Uncorrected formation energy**: -1585 kJ/mol of formula units
**ρ**: 4.43 Mg/m³

Unit cell a=6.660 b=6.660 c=5.491 alpha=90.00 beta=90.00 gamma=120.00
Element x y z (fractional)
Cs (0.333, 0.667, 0.354)
Cs (0.667, 0.333, 0.646)
Tm (0.000, 0.000, 0.000)
S (0.000, 0.000, 0.500)
O (0.120, 0.239, 0.681)
O (0.120, 0.880, 0.681)
O (0.239, 0.120, 0.319)
O (0.761, 0.880, 0.681)
O (0.880, 0.120, 0.319)
O (0.880, 0.761, 0.319)


Below is a geometry-optimized CsUS2O structure, with properties calculated at the PBE-GGA level.

Computed properties:
**Uncorrected formation energy**: -905 kJ/mol of formula units
**ρ**: 4.94 Mg/m³

Unit cell a=8.215 b=4.121 c=9.345 alpha=90.00 beta=106.73 gamma=90.00
Element x y z (fractional)
Cs (0.195, 0.250, 0.314)
Cs (0.805, 0.750, 0.686)
U (0.322, 0.250, 0.833)
U (0.678, 0.750, 0.167)
S (0.337, 0.750, 0.037)
S (0.345, 0.750, 0.657)
S (0.655, 0.250, 0.343)
S (0.663, 0.250, 0.963)
O (0.085, 0.250, 0.777)
O (0.915, 0.750, 0.223)


Below is a geometry-optimized Cs2US2O2 structure, with properties calculated at the PBE-GGA level.

Computed properties:
**Uncorrected formation energy**: -1409 kJ/mol of formula units
**ρ**: 4.97 Mg/m³

Unit cell a=13.870 b=4.176 c=7.957 alpha=90.00 beta=119.64 gamma=90.00
Element x y z (fractional)
Cs (0.177, 0.000, 0.192)
Cs (0.323, 0.500, 0.808)
Cs (0.677, 0.500, 0.192)
Cs (0.823, 0.000, 0.808)
U (0.000, 0.000, 0.500)
U (0.500, 0.500, 0.500)
S (0.042, 0.500, 0.750)
S (0.458, 0.000, 0.250)
S (0.542, 0.000, 0.750)
S (0.958, 0.500, 0.250)
O (0.148, 0.000, 0.562)
O (0.352, 0.500, 0.438)
O (0.648, 0.500, 0.562)
O (0.852, 0.000, 0.438)